1.
Y2SbPt after structural relaxation. Source: Alexandria, functional GGA-PBE.

Structure (POSCAR):
```
Y2SbPt
1.0
-3.1359 3.1359 7.3577
3.1359 -3.1359 7.3577
3.1359 3.1359 -7.3577
Y Sb Pt
4 2 2
direct
0.0917 0.6250 0.9667
0.3750 0.3417 0.4667
0.6583 0.1250 0.0333
0.8750 0.9083 0.5333
0.2500 0.7500 0.5000
0.5000 0.5000 0.0000
0.0000 0.0000 0.0000
0.7500 0.2500 0.5000
```

Results
- D(E_F): 10.55 states/eV/cell
- V: 36.18 Å³ per atom
- Energy relative to the elements, uncorrected: -0.493 eV per atom
- Energy: -6.27 eV per atom



2.
Y3SbPt12 after structural relaxation. Source: Alexandria, functional GGA-PBE.

Structure (POSCAR):
```
Y3SbPt12
1.0
4.1210 0.0000 0.0000
0.0000 4.1210 0.0000
0.0000 0.0000 16.4242
Y Sb Pt
3 1 12
direct
0.0000 0.0000 0.0000
0.0000 0.0000 0.2492
0.0000 0.0000 0.7508
0.0000 0.0000 0.5000
0.0000 0.5000 0.1258
0.0000 0.5000 0.3785
0.0000 0.5000 0.6215
0.0000 0.5000 0.8742
0.5000 0.0000 0.1258
0.5000 0.0000 0.3785
0.5000 0.0000 0.6215
0.5000 0.0000 0.8742
0.5000 0.5000 0.0000
0.5000 0.5000 0.2537
0.5000 0.5000 0.5000
0.5000 0.5000 0.7463
```

Results
- D(E_F): 11.44 states/eV/cell
- V: 17.43 Å³ per atom
- Energy relative to the elements, uncorrected: -0.804 eV per atom
- Energy: -6.80 eV per atom



3.
Y2SbPt after structural relaxation. Source: Alexandria, functional GGA-PBE.

Structure (POSCAR):
```
Y2SbPt
1.0
4.2448 0.0000 0.0000
0.0000 4.2448 0.0000
0.0000 0.0000 6.0819
Y Sb Pt
2 1 1
direct
0.0000 0.0000 0.0000
0.5000 0.5000 0.4406
0.5000 0.5000 0.9376
0.0000 0.0000 0.4616
```

Results
- D(E_F): 2.19 states/eV/cell
- V: 27.40 Å³ per atom
- Energy relative to the elements, uncorrected: -0.949 eV per atom
- Energy: -6.72 eV per atom